Entry 1:
{
  "formula": "Al2PCl",
  "functional": "PBE-GGA",
  "state": "relaxed",
  "cell": [[-1.3018, 5.1461, -2.9927], [-4.5399, 3.9365, 1.0134], [4.9304, -3.0585, 1.8627]],
  "species": ["Cl", "P", "Al", "Al"],
  "frac_coords": [[0.4863, 0.4863, 0.0000], [0.2044, 0.7044, 0.5000], [0.7918, 0.2918, 0.5000], [0.0174, 0.0174, 0.0000]],
  "sg": "No. 44",
  "e_form_raw_ev_per_atom": -0.0972,
  "e_above_lowest_polymorph_mev_per_atom": 218
}


Entry 2:
{
  "formula": "CaPtRhN2",
  "functional": "PBE-GGA",
  "state": "relaxed",
  "cell": [[4.2723, 0.0000, 0.0000], [0.0000, 5.3290, 0.0000], [0.0000, 0.0000, 4.2723]],
  "species": ["Pt", "N", "N", "Rh", "Ca"],
  "frac_coords": [[0.5000, 0.5000, 0.5000], [0.5000, 0.0000, 0.0000], [0.0000, 0.0000, 0.5000], [0.0000, 0.5000, 0.0000], [0.0000, 0.0000, 0.0000]],
  "sg": "No. 123",
  "e_form_raw_ev_per_atom": 2.1945
}


Entry 3:
{
  "formula": "La4AsP",
  "functional": "PBE-GGA",
  "state": "relaxed",
  "cell": [[0.0000, 4.4162, 4.4162], [4.4162, 0.0000, 4.4162], [4.4162, 4.4162, 0.0000]],
  "species": ["As", "La", "La", "La", "La", "P"],
  "frac_coords": [[0.0000, 0.0000, 0.0000], [0.3750, 0.8750, 0.3750], [0.3750, 0.3750, 0.8750], [0.3750, 0.3750, 0.3750], [0.8750, 0.3750, 0.3750], [0.7500, 0.7500, 0.7500]],
  "sg": "No. 216",
  "formation_energy_ev_per_fu": 0.33
}


Entry 4:
{
  "formula": "Ac12LaIr7",
  "functional": "PBE-GGA",
  "state": "relaxed",
  "cell": [[-0.2695, 10.3246, 2.3654], [4.5649, -5.0607, 6.7888], [8.8551, 3.6641, 0.8363]],
  "species": ["Ac", "Ac", "Ac", "Ac", "Ac", "Ac", "Ac", "Ac", "Ac", "Ac", "Ac", "Ac", "Ir", "Ir", "Ir", "Ir", "Ir", "Ir", "Ir", "La"],
  "frac_coords": [[0.3709, 0.2126, 0.0775], [0.1583, 0.7098, 0.2126], [0.9256, 0.1420, 0.3874], [0.7836, 0.4706, 0.1420], [0.0745, 0.8582, 0.6127], [0.4484, 0.0775, 0.7098], [0.3130, 0.3874, 0.4706], [0.5514, 0.9222, 0.2902], [0.6292, 0.7876, 0.9222], [0.8416, 0.2902, 0.7876], [0.2163, 0.5292, 0.8582], [0.6871, 0.6127, 0.5292], [0.9712, 0.0920, 0.6787], [0.5000, 0.0000, 0.0000], [0.0289, 0.9083, 0.3213], [0.3502, 0.3213, 0.7704], [0.1206, 0.7704, 0.9083], [0.6499, 0.6787, 0.2293], [0.8792, 0.2293, 0.0920], [0.0000, 0.0000, 0.0000]],
  "sg": "No. 148",
  "formation_energy_ev_per_fu": -11.59
}


Entry 5:
{
  "formula": "La2CuGe",
  "functional": "PBE-GGA",
  "state": "relaxed",
  "cell": [[0.0538, 4.6915, -4.8749], [-4.0362, -5.3012, 1.1763], [-1.6902, -2.0921, 6.2083]],
  "species": ["Ge", "La", "La", "Cu"],
  "frac_coords": [[0.0000, 0.5000, 0.5000], [0.0000, 0.7706, 0.7706], [0.0000, 0.2294, 0.2294], [0.0000, 0.0000, 0.0000]],
  "sg": "No. 71",
  "formation_energy_ev_per_fu": 2.02
}


Entry 6:
{
  "formula": "Y2CdAs2",
  "functional": "PBE-GGA",
  "state": "relaxed",
  "cell": [[-3.5456, 3.9534, -5.6936], [-2.7049, -6.6773, -2.9520], [-3.1354, 0.3113, 2.1687]],
  "species": ["Y", "Y", "Y", "Y", "As", "As", "As", "As", "Cd", "Cd"],
  "frac_coords": [[0.1564, 0.6564, 0.5000], [0.3436, 0.1564, 0.5000], [0.6564, 0.8436, 0.5000], [0.8436, 0.3436, 0.5000], [0.1498, 0.3502, 0.0000], [0.3502, 0.8502, 0.0000], [0.8502, 0.6498, 0.0000], [0.6498, 0.1498, 0.0000], [0.5000, 0.5000, 0.0000], [0.0000, 0.0000, 0.0000]],
  "sg": "No. 127",
  "formation_energy_ev_per_fu": -5.07
}


Entry 7:
{
  "formula": "LaMgI2N",
  "functional": "PBE-GGA",
  "state": "relaxed",
  "cell": [[-3.2813, 5.5698, 0.8777], [-0.4259, -1.2575, 6.3873], [3.6114, 2.0267, 0.6398]],
  "species": ["La", "N", "I", "I", "Mg"],
  "frac_coords": [[0.0000, 0.0000, 0.0000], [0.0000, 0.0000, 0.5000], [0.0000, 0.5000, 0.0000], [0.5000, 0.0000, 0.0000], [0.5000, 0.5000, 0.5000]],
  "sg": "No. 123",
  "e_form_raw_ev_per_atom": -0.3730,
  "e_above_lowest_polymorph_mev_per_atom": 0
}


Entry 8:
{
  "formula": "SbP2Os",
  "functional": "PBE-GGA",
  "state": "relaxed",
  "cell": [[-5.5672, 4.3664, 1.5669], [-6.3842, 2.9849, -1.6871], [-7.0461, 1.0626, 1.3180]],
  "species": ["Sb", "P", "P", "Os"],
  "frac_coords": [[0.5013, 0.5013, 0.5013], [0.2411, 0.2411, 0.2411], [0.0246, 0.0246, 0.0246], [0.7330, 0.7330, 0.7330]],
  "sg": "No. 160",
  "e_form_raw_ev_per_atom": 0.2840
}


Entry 9:
{
  "formula": "Li6Bi2As",
  "functional": "PBE-GGA",
  "state": "relaxed",
  "cell": [[-2.3576, -4.0480, 0.9093], [0.0665, -1.7291, -7.5250], [5.4294, 0.5103, 3.8922]],
  "species": ["Li", "Li", "Li", "Li", "Li", "Li", "Bi", "Bi", "As"],
  "frac_coords": [[0.8476, 0.1397, 0.6952], [0.1524, 0.4444, 0.3048], [0.5000, 0.8270, 0.0000], [0.8476, 0.5556, 0.6952], [0.5000, 0.1730, 0.0000], [0.1524, 0.8603, 0.3048], [0.3310, 0.3309, 0.6617], [0.6690, 0.6691, 0.3383], [0.0000, 0.0000, 0.0000]],
  "sg": "No. 12",
  "formation_energy_ev_per_fu": -4.42
}


Entry 10:
{
  "formula": "Tb2B10Ru",
  "functional": "PBE-GGA",
  "state": "relaxed",
  "cell": [[-3.8489, 1.1909, 1.0821], [0.2667, -3.3370, 4.6211], [4.3481, 8.6226, 5.9757]],
  "species": ["B", "B", "B", "B", "B", "B", "B", "B", "B", "B", "B", "B", "B", "B", "B", "B", "B", "B", "B", "B", "Ru", "Ru", "Tb", "Tb", "Tb", "Tb"],
  "frac_coords": [[0.3004, 0.7225, 0.3813], [0.0000, 0.3803, 0.0417], [0.0000, 0.0574, 0.1925], [0.0000, 0.9426, 0.8075], [0.3004, 0.2225, 0.1187], [0.0000, 0.3658, 0.1975], [0.0000, 0.1197, 0.5417], [0.0000, 0.6342, 0.8025], [0.3004, 0.2775, 0.6187], [0.0000, 0.4426, 0.6925], [0.6996, 0.7775, 0.8813], [0.6996, 0.2775, 0.6187], [0.6996, 0.7225, 0.3813], [0.0000, 0.5574, 0.3075], [0.0000, 0.8658, 0.3025], [0.0000, 0.6197, 0.9583], [0.0000, 0.1342, 0.6975], [0.3004, 0.7775, 0.8813], [0.6996, 0.2225, 0.1187], [0.0000, 0.8803, 0.4583], [0.0000, 0.0000, 0.0000], [0.0000, 0.5000, 0.5000], [0.5000, 0.2783, 0.8696], [0.5000, 0.7783, 0.6304], [0.5000, 0.7217, 0.1304], [0.5000, 0.2217, 0.3696]],
  "sg": "No. 55",
  "formation_energy_ev_per_fu": -6.42
}